Entry from the Alexandria database: crystalline CsHg2Pb at its relaxed geometry (PBE).

Its space group is No. 160. As for the energy: -5.7 eV per formula unit. As for the formation enthalpy at 0 K: -128 meV/atom. As for the volume: 41.68 A^3/atom. Its total moment is 0.0 Bohr magnetons per cell. The density comes out at 7.383 g/cm³.

Cell lengths 5.131, 5.131, 7.890 Å; angles 71.03, 71.03, 60.00 degrees
Positions (direct):
Hg  0.044  0.044  0.867
Hg  0.282  0.282  0.155
Cs  0.495  0.495  0.515
Pb  0.679  0.679  0.964

Entry from the Alexandria database: crystalline Tl6SeS2Br at its relaxed geometry (PBE).

Its space group is No. 1. As for the energy: -31.1 eV per formula unit. As for the formation energy without anion corrections: -345 meV/atom. As for the volume: 33.19 A^3/atom. Its total moment is 0.0 Bohr magnetons per cell. The density comes out at 7.250 g/cm³.

Cell lengths 7.488, 7.452, 8.115 Å; angles 62.31, 62.77, 60.00 degrees
Positions (direct):
Se  0.842  0.840  0.480
Tl  0.840  0.682  0.203
Tl  0.683  0.280  0.200
Tl  0.277  0.838  0.203
S  0.488  0.490  0.529
Br  0.268  0.265  0.204
S  0.041  0.044  0.865
Tl  0.077  0.452  0.778
Tl  0.693  0.076  0.776
Tl  0.453  0.694  0.777

Entry from the Alexandria database: crystalline Ce2Al9Ni3 at its relaxed geometry (PBE).

Its space group is No. 15. As for the energy: -70.0 eV per formula unit. As for the formation enthalpy at 0 K: -505 meV/atom. As for the volume: 16.58 A^3/atom. Its total moment is 4.9 Bohr magnetons per cell. The density comes out at 5.003 g/cm³.

Cell lengths 7.526, 7.526, 10.429 Å; angles 89.88, 111.11, 120.25 degrees
Positions (direct):
Al  0.329  0.290  0.247
Ni  0.163  0.831  0.501
Ce  0.335  0.248  0.750
Al  0.876  0.856  0.568
Ni  0.830  0.662  0.999
Al  0.788  0.308  0.932
Ni  0.500  0.500  0.500
Al  0.135  0.985  0.951
Al  0.214  0.523  0.569
Al  0.466  0.816  0.451
Al  0.121  0.871  0.250
Ce  0.665  0.752  0.250
Al  0.671  0.710  0.753
Ni  0.170  0.338  0.001
Ni  0.837  0.169  0.499
Al  0.454  0.645  0.931
Al  0.543  0.081  0.253
Al  0.124  0.144  0.432
Ni  0.500  0.000  0.000
Al  0.546  0.355  0.069
Al  0.457  0.919  0.747
Ce  0.002  0.415  0.250
Al  0.879  0.129  0.750
Al  0.786  0.477  0.431
Al  0.212  0.692  0.068
Ce  0.998  0.585  0.750
Al  0.534  0.184  0.549
Al  0.865  0.015  0.049

Entry from the Alexandria database: crystalline SmScCo2 at its relaxed geometry (PBE).

Its space group is No. 225. As for the energy: -25.8 eV per formula unit. As for the formation enthalpy at 0 K: -131 meV/atom. As for the volume: 17.57 A^3/atom. Its total moment is 0.6 Bohr magnetons per cell. The density comes out at 7.401 g/cm³.

Cell lengths 4.632, 4.632, 4.632 Å; angles 60.00, 60.00, 60.00 degrees
Positions (direct):
Co  0.750  0.750  0.750
Sm  0.000  0.000  0.000
Co  0.250  0.250  0.250
Sc  0.500  0.500  0.500

Entry from the Alexandria database: crystalline Cs2GeTe2 at its relaxed geometry (PBE).

Its space group is No. 12. As for the energy: -15.8 eV per formula unit. As for the formation energy without anion corrections: -641 meV/atom. As for the volume: 58.52 A^3/atom. Its total moment is 0.0 Bohr magnetons per cell. The density comes out at 3.369 g/cm³.

Cell lengths 7.889, 8.916, 14.336 Å; angles 133.13, 90.00, 116.26 degrees
Positions (direct):
Te  0.764  0.528  0.388
Te  0.606  0.212  0.786
Cs  0.142  0.283  0.794
Cs  0.284  0.568  0.390
Te  0.394  0.788  0.214
Ge  0.514  0.029  0.156
Ge  0.486  0.971  0.844
Cs  0.858  0.717  0.206
Cs  0.716  0.432  0.610
Te  0.236  0.472  0.612

Entry from the Alexandria database: crystalline FeOs2Pb at its relaxed geometry (PBE).

Its space group is No. 122. As for the energy: -28.6 eV per formula unit. As for the formation enthalpy at 0 K: 1517 meV/atom. As for the volume: 22.61 A^3/atom. Its total moment is 0.0 Bohr magnetons per cell. The density comes out at 11.814 g/cm³.

Cell lengths 5.683, 5.683, 6.893 Å; angles 65.66, 65.66, 90.00 degrees
Positions (direct):
Pb  0.000  0.000  0.000
Fe  0.500  0.500  0.000
Fe  0.250  0.750  0.500
Os  0.875  0.802  0.750
Os  0.375  0.448  0.750
Os  0.552  0.125  0.250
Os  0.198  0.625  0.250
Pb  0.750  0.250  0.500

Entry from the Alexandria database: crystalline Cr3AgCl at its relaxed geometry (PBE).

Its space group is No. 221. As for the energy: -27.1 eV per formula unit. As for the formation energy without anion corrections: 1299 meV/atom. As for the volume: 26.65 A^3/atom. Its total moment is 14.0 Bohr magnetons per cell. The density comes out at 3.730 g/cm³.

Cell lengths 5.108, 5.108, 5.108 Å; angles 90.00, 90.00, 90.00 degrees
Positions (direct):
Cr  0.000  0.000  0.500
Cr  0.000  0.500  0.000
Cl  0.500  0.500  0.500
Ag  0.000  0.000  0.000
Cr  0.500  0.000  0.000

Entry from the Alexandria database: crystalline Pr2RhI2 at its relaxed geometry (PBE).

Its space group is No. 166. As for the energy: -25.2 eV per formula unit. As for the formation energy without anion corrections: -1046 meV/atom. As for the volume: 36.30 A^3/atom. Its total moment is 0.0 Bohr magnetons per cell. The density comes out at 5.842 g/cm³.

Cell lengths 4.236, 4.236, 11.935 Å; angles 79.78, 79.78, 60.00 degrees
Positions (direct):
Pr  0.620  0.620  0.139
Pr  0.380  0.380  0.861
I  0.224  0.224  0.328
I  0.776  0.776  0.672
Rh  0.000  0.000  0.000

Entry from the Alexandria database: crystalline BaSr2LiPd at its relaxed geometry (PBE).

Its space group is No. 123. As for the energy: -13.5 eV per formula unit. As for the formation enthalpy at 0 K: -223 meV/atom. As for the volume: 45.13 A^3/atom. Its total moment is 0.0 Bohr magnetons per cell. The density comes out at 3.134 g/cm³.

Cell lengths 6.016, 6.016, 6.235 Å; angles 90.00, 90.00, 90.00 degrees
Positions (direct):
Li  0.500  0.500  0.500
Pd  0.000  0.000  0.000
Ba  0.000  0.000  0.500
Sr  0.500  0.000  0.000
Sr  0.000  0.500  0.000

Entry from the Alexandria database: crystalline Ho7Er3Sc2 at its relaxed geometry (PBE).

Its space group is No. 10. As for the energy: -57.2 eV per formula unit. As for the formation enthalpy at 0 K: 103 meV/atom. As for the volume: 30.06 A^3/atom. Its total moment is 0.0 Bohr magnetons per cell. The density comes out at 8.039 g/cm³.

Cell lengths 3.496, 5.685, 18.709 Å; angles 104.10, 90.00, 90.00 degrees
Positions (direct):
Ho  0.000  0.000  0.000
Ho  0.500  0.720  0.462
Ho  0.500  0.280  0.538
Ho  0.000  0.538  0.853
Ho  0.500  0.004  0.816
Ho  0.000  0.462  0.147
Er  0.000  0.146  0.366
Er  0.500  0.500  0.000
Sc  0.500  0.413  0.704
Sc  0.500  0.587  0.296
Er  0.000  0.854  0.634
Ho  0.500  0.996  0.184

Entry from the Alexandria database: crystalline NpZnCdIn at its relaxed geometry (PBE).

Its space group is No. 216. As for the energy: -17.2 eV per formula unit. As for the formation enthalpy at 0 K: 167 meV/atom. As for the volume: 22.72 A^3/atom. Its total moment is 4.3 Bohr magnetons per cell. The density comes out at 9.680 g/cm³.

Cell lengths 5.046, 5.046, 5.046 Å; angles 60.00, 60.00, 60.00 degrees
Positions (direct):
In  0.000  0.000  0.000
Cd  0.750  0.750  0.750
Zn  0.500  0.500  0.500
Np  0.250  0.250  0.250

Entry from the Alexandria database: crystalline Ac2B2N3 at its relaxed geometry (PBE).

Its space group is No. 12. As for the energy: -50.2 eV per formula unit. As for the formation energy without anion corrections: -521 meV/atom. As for the volume: 14.14 A^3/atom. Its total moment is 0.0 Bohr magnetons per cell. The density comes out at 8.681 g/cm³.

Cell lengths 3.591, 7.858, 3.973 Å; angles 97.12, 116.87, 90.00 degrees
Positions (direct):
N  0.000  0.000  0.000
B  0.122  0.479  0.244
Ac  0.381  0.207  0.762
B  0.878  0.521  0.756
N  0.312  0.593  0.624
Ac  0.619  0.793  0.238
N  0.688  0.407  0.376